Here is a relaxed TlGaSeBr2 crystal from Alexandria via LeMat-Bulk. Energies are from PBE-GGA.

N(E_F) ... 0.69 states/eV per atom
Energy above the most stable polymorph in this dataset ... 0.356 eV/atom
Volume ... 35.287 A^3/atom

Lattice parameters (Å, degrees): 5.7286 5.7286 5.3763 90.00 90.00 90.00
Atoms (fractional coordinates):
Tl (0.0000, 0.0000, 0.0000)
Ga (0.5000, 0.5000, 0.5000)
Se (0.0000, 0.0000, 0.5000)
Br (0.0000, 0.5000, 0.0000)
Br (0.5000, 0.0000, 0.0000)